1.
Here is a geometry-optimized NaBrCl2 structure from Alexandria. Energies are from PBE.

It has space group R-3m (No. 166, hexagonal axes), with a = 4.4374 Å, b = 4.4374 Å, c = 22.3717 Å, α = 90.00°, β = 90.00° and γ = 120.00°. The inequivalent atoms are Na at (0.0000, 0.0000, 0.0000), Br at (0.0000, 0.0000, 0.5000) and Cl at (0.0000, 0.0000, 0.3919).

As for the density of states at the Fermi level: 0.000 states/eV per atom. As for the formation energy from raw total energies: -0.916 eV per atom. The calculation puts the distance to the lowest polymorph of the same formula at 0.000 eV/atom. As for the energy: -10.349 eV/f.u.

---

2.
Here is a geometry-optimized NaNpBrCl4 structure from Alexandria. Energies are from PBE.

It has space group C2/m (No. 12), with a = 12.1918 Å, b = 8.9825 Å, c = 10.5717 Å, α = 90.00°, β = 114.55° and γ = 90.00°. The inequivalent atoms are Na at (0.1176, 0.0000, 0.3874), Np at (0.1334, 0.5000, 0.2106), Br at (0.1244, 0.5000, 0.9353), Cl at (0.1302, 0.2147, 0.2041), Cl at (0.1298, 0.5000, 0.4508) and Cl at (0.1307, 0.0000, 0.6659).

As for the density of states at the Fermi level: 1.872 states/eV per atom. As for the formation energy from raw total energies: -1.597 eV per atom. As for the energy: -34.499 eV/f.u.

---

3.
Here is a geometry-optimized Na3NpBr2Cl6 structure from Alexandria. Energies are from PBE.

It has space group C2/m (No. 12), with a = 14.8705 Å, b = 8.3631 Å, c = 6.1634 Å, α = 90.00°, β = 95.26° and γ = 90.00°. The inequivalent atoms are Na at (0.0000, 0.0000, 0.0000), Na at (0.2500, 0.2500, 0.5000), Np at (0.0000, 0.5000, 0.5000), Br at (0.1691, 0.0000, 0.2429), Cl at (0.0775, 0.2843, 0.7368) and Cl at (0.1338, 0.5000, 0.2718).

As for the density of states at the Fermi level: 1.013 states/eV per atom. As for the formation energy from raw total energies: -1.511 eV per atom. As for the energy: -49.456 eV/f.u.

---

4.
Here is a geometry-optimized Na4BrClO structure from Alexandria. Energies are from PBE.

It has space group Cmcm (No. 63), with a = 6.3864 Å, b = 14.7233 Å, c = 6.3917 Å, α = 90.00°, β = 90.00° and γ = 90.00°. The inequivalent atoms are Na at (0.0000, 0.0918, 0.2500), Na at (0.0000, 0.4024, 0.2500), Na at (0.2500, 0.2500, 0.0000), Br at (0.0000, 0.4019, 0.7500), Cl at (0.0000, 0.1001, 0.7500) and O at (0.0000, 0.2481, 0.2500).

As for the density of states at the Fermi level: 0.000 states/eV per atom. As for the formation energy from raw total energies: -1.482 eV per atom. As for the energy: -24.126 eV/f.u.

---

5.
Here is a geometry-optimized Na9Br3ClO2 structure from Alexandria. Energies are from PBE.

It has space group P-3m1 (No. 164), with a = 6.8876 Å, b = 6.8876 Å, c = 8.5322 Å, α = 90.00°, β = 90.00° and γ = 120.00°. The inequivalent atoms are Na at (0.0000, 0.5000, 0.0000), Na at (0.1812, 0.3625, 0.3056), Br at (0.0000, 0.0000, 0.0000), Br at (0.3333, 0.6667, 0.6433), Cl at (0.0000, 0.0000, 0.5000) and O at (0.3333, 0.6667, 0.1483).

As for the density of states at the Fermi level: 0.108 states/eV per atom. As for the formation energy from raw total energies: -1.288 eV per atom. As for the energy: -47.977 eV/f.u.

---

6.
Here is a geometry-optimized NaPBrCl2 structure from Alexandria. Energies are from PBE.

It has space group P4/mmm (No. 123), with a = 4.8262 Å, b = 4.8262 Å, c = 8.1634 Å, α = 90.00°, β = 90.00° and γ = 90.00°. The inequivalent atoms are Na at (0.0000, 0.0000, 0.0000), P at (0.0000, 0.0000, 0.5000), Br at (0.5000, 0.5000, 0.5000) and Cl at (0.0000, 0.5000, 0.0000).

As for the density of states at the Fermi level: 0.385 states/eV per atom. As for the formation energy from raw total energies: 0.248 eV per atom. The calculation puts the distance to the lowest polymorph of the same formula at 0.165 eV/atom. As for the energy: -10.856 eV/f.u.